# InTeF6 (PBE-GGA, optimized geometry)
data_InTeF6
_space_group_name_H-M_alt 'P -1'
_space_group_IT_number 2
_cell_length_a 5.854
_cell_length_b 5.858
_cell_length_c 6.251
_cell_angle_alpha 62.10
_cell_angle_beta 62.12
_cell_angle_gamma 60.05
loop_
_space_group_symop_operation_xyz
'x,y,z'
'-x,-y,-z'
loop_
_atom_site_label
_atom_site_type_symbol
_atom_site_fract_x
_atom_site_fract_y
_atom_site_fract_z
In1 In 0.000 0.000 0.000
Te1 Te 0.500 0.500 0.500
F1 F 0.183 0.744 0.739
F2 F 0.255 0.663 0.263
F3 F 0.337 0.181 0.740
# Theoretical density   3.79 g cm⁻³
# Magnetic moment   0.0000 μB/atom
# Formation energy without anion corrections   -2.069 eV/atom
# Final energy   -4.208 eV per atom